No. 1
This record from Alexandria via LeMat-Bulk describes a crystal of BaCuGe relaxed with PBEsol. The functional is meta-GGA SCAN.

Lattice parameters (Å, degrees): 4.1964 4.1964 4.9396 90.00 90.00 120.00
With the nearest neighbours (Å) after each atom.
Space group P-6m2 (No. 187)
Unique sites:
1 Ba 0.0000 0.0000 0.0000  6 Ge 3.46, 6 Cu 3.46
2 Cu 0.6667 0.3333 0.5000  3 Ge 2.42
3 Ge 0.3333 0.6667 0.5000  3 Cu 2.42

As for the crystal system: hexagonal. As for the calculated density: 6029 kg/m3. The density of states at the Fermi level is 0.885 states/eV/atom. The energy of formation is -394 meV per atom. For the spin magnetization, the calculation gives 0.0 μB per cell.


No. 2
This record from Alexandria via LeMat-Bulk describes a crystal of BaCu2Ge2O7 relaxed with PBEsol. The functional is meta-GGA SCAN.

Lattice parameters (Å, degrees): 7.0094 13.1255 7.1554 90.00 90.00 90.00
With the nearest neighbours (Å) after each atom.
Space group Pnma (No. 62)
Unique sites:
1 Ba 0.0199 0.2500 0.0489  7 O 2.66-2.86
2 Cu 0.2172 0.5045 0.7925  4 O 1.88-1.96
3 Ge 0.0129 0.1281 0.5232  4 O 1.75-1.80
4 O 0.0862 0.1191 0.7565  1 Ge 1.75, 1 Cu 1.88
5 O 0.1031 0.7500 0.5024  2 Ge 1.80
6 O 0.1798 0.5423 0.5316  1 Ge 1.80, 2 Cu 1.95-1.96
7 O 0.1886 0.1358 0.3467  1 Ge 1.77, 1 Cu 1.89

As for the crystal system: orthorhombic. As for the uncorrected formation energy: -1.723 eV/atom. As for the calculated density: 5264 kg/m3. The density of states at the Fermi level is 0.166 states/eV/atom. For the spin magnetization, the calculation gives 0.0 μB per cell.


No. 3
This record from Alexandria via LeMat-Bulk describes a crystal of BaCuGe2Os relaxed with PBEsol. The functional is meta-GGA SCAN.

Lattice parameters (Å, degrees): 4.5293 4.5293 5.3970 90.00 90.00 90.00
With the nearest neighbours (Å) after each atom.
Space group P4/mmm (No. 123)
Unique sites:
1 Ba 0.0000 0.0000 0.0000  2 Cu 2.70
2 Cu 0.0000 0.0000 0.5000  4 Ge 2.26
3 Ge 0.0000 0.5000 0.5000  2 Cu 2.26
4 Os 0.5000 0.5000 0.0000  4 Ba 3.20, 8 Ge 3.52

As for the crystal system: tetragonal. As for the calculated density: 8045 kg/m3. The density of states at the Fermi level is 0.736 states/eV/atom. The energy of formation is 1070 meV per atom. For the spin magnetization, the calculation gives 1.4 μB per cell.


No. 4
This record from Alexandria via LeMat-Bulk describes a crystal of BaCu2GeRu relaxed with PBEsol. The functional is meta-GGA SCAN.

Lattice parameters (Å, degrees): 4.8382 4.8382 4.6034 90.00 90.00 90.00
With the nearest neighbours (Å) after each atom.
Space group P4/mmm (No. 123)
Unique sites:
1 Ba 0.0000 0.0000 0.0000  8 Cu 3.34, 4 Ge 3.42
2 Cu 0.0000 0.5000 0.5000  2 Ru 2.42
3 Ge 0.5000 0.5000 0.0000  2 Ru 2.30
4 Ru 0.5000 0.5000 0.5000  2 Ge 2.30, 4 Cu 2.42

As for the crystal system: tetragonal. As for the calculated density: 6752 kg/m3. The density of states at the Fermi level is 0.705 states/eV/atom. The energy of formation is 55 meV per atom. For the spin magnetization, the calculation gives 0.0 μB per cell.


No. 5
This record from Alexandria via LeMat-Bulk describes a crystal of Ba2CuH6 relaxed with PBEsol. The functional is meta-GGA SCAN.

Lattice parameters (Å, degrees): 14.5948 5.6714 5.6708 90.00 90.00 90.00
With the nearest neighbours (Å) after each atom.
Space group Cmce (No. 64)
Unique sites:
1 Ba 0.1405 0.0000 0.0000  4 H 2.56
2 Cu 0.0000 0.0000 0.5000  4 H 1.58-1.73
3 H 0.0000 0.2155 0.2845  1 Cu 1.73
4 H 0.1085 0.0000 0.5000  1 Cu 1.58
5 H 0.2500 0.2499 0.2500  4 Ba 2.56, 4 H 2.84

As for the crystal system: orthorhombic. The value obtained for the total energy is -0.4839 hartree per atom. As for the calculated density: 4871 kg/m3. The density of states at the Fermi level is 0.177 states/eV/atom. For the spin magnetization, the calculation gives 0.0 μB per cell.


No. 6
This record from Alexandria via LeMat-Bulk describes a crystal of BaCu2P2H2O9 relaxed with PBEsol. The functional is meta-GGA SCAN.

Lattice parameters (Å, degrees): 5.1657 9.7124 14.5395 90.00 90.00 90.00
With the nearest neighbours (Å) after each atom.
Space group P2_12_12_1 (No. 19)
Unique sites:
1 Ba 0.0073 0.0251 0.4636  7 O 2.69-2.99
2 Cu 0.0256 0.7514 0.2617  4 O 1.91-2.02
3 Cu 0.1092 0.9849 0.7175  4 O 1.91-2.00
4 P 0.0179 0.7734 0.8660  4 O 1.51-1.59
5 P 0.0249 0.6946 0.6222  4 O 1.52-1.60
6 H 0.0110 0.0839 0.0837  1 O 1.00
7 H 0.1448 0.4834 0.3501  1 O 0.99
8 O 0.0036 0.3524 0.8790  1 P 1.54
9 O 0.0084 0.0451 0.1477  2 H 0.99-1.00
10 O 0.0209 0.1299 0.9718  1 P 1.52, 1 H 1.69
11 O 0.0565 0.8189 0.9647  1 P 1.51
12 O 0.0636 0.6151 0.8595  1 P 1.56
13 O 0.1886 0.1320 0.8099  1 P 1.60
14 O 0.2045 0.3493 0.1584  1 P 1.55
15 O 0.2299 0.8441 0.8022  1 P 1.59
16 O 0.2471 0.6817 0.1678  1 P 1.55

As for the crystal system: orthorhombic. The value obtained for the total energy is -0.4277 hartree per atom. As for the calculated density: 4301 kg/m3. For the spin magnetization, the calculation gives 7.8 μB per cell.